(1)
Below is an optimized crystal structure of Li2Br, with properties calculated at the PBE-GGA level.

The structure in POSCAR format:
```
Li2Br
1.0
4.648 0.000 0.000
2.324 4.026 0.000
2.324 1.342 3.795
Br Li
1 2
Direct
0.000 0.000 0.000 Br
0.750 0.750 0.750 Li
0.250 0.250 0.250 Li
```

SG: Fm-3m, No. 225
Energy relative to the elements, uncorrected (eV/atom): -0.6561

---

(2)
Below is an optimized crystal structure of MnOsBr3, with properties calculated at the PBE-GGA level.

The structure in POSCAR format:
```
MnOsBr3
1.0
5.106 0.000 0.000
0.000 5.106 0.000
0.000 0.000 5.106
Br Mn Os
3 1 1
Direct
0.500 0.000 0.000 Br
0.000 0.500 0.000 Br
0.000 0.000 0.500 Br
0.500 0.500 0.500 Mn
0.000 0.000 0.000 Os
```

SG: Pm-3m, No. 221
Energy relative to the elements, uncorrected (eV/atom): 0.7563
ΔE to the lowest computed polymorph (eV per formula unit): 0.000

---

(3)
Below is an optimized crystal structure of MgHBr3, with properties calculated at the PBE-GGA level.

The structure in POSCAR format:
```
MgHBr3
1.0
4.759 0.000 0.000
0.000 4.759 0.000
0.000 0.000 4.759
H Br Mg
1 3 1
Direct
0.000 0.000 0.000 H
0.500 0.000 0.000 Br
0.000 0.000 0.500 Br
0.000 0.500 0.000 Br
0.500 0.500 0.500 Mg
```

SG: Pm-3m, No. 221
ΔE to the lowest computed polymorph (eV per formula unit): 1.338

---

(4)
Below is an optimized crystal structure of Hf6AuS, with properties calculated at the PBE-GGA level.

The structure in POSCAR format:
```
Hf6AuS
1.0
5.755 0.407 -0.265
-1.763 5.493 -0.265
-1.004 -1.484 5.490
Hf S Au
6 1 1
Direct
0.357 0.786 0.786 Hf
0.643 0.214 0.214 Hf
0.214 0.214 0.643 Hf
0.214 0.643 0.214 Hf
0.786 0.357 0.786 Hf
0.786 0.786 0.357 Hf
0.500 0.500 0.500 S
0.000 0.000 0.000 Au
```

SG: R-3m, No. 166
Energy relative to the elements, uncorrected (eV/atom): -0.2665

---

(5)
Below is an optimized crystal structure of K2TiW, with properties calculated at the PBE-GGA level.

The structure in POSCAR format:
```
K2TiW
1.0
2.150 0.271 5.236
-3.446 0.687 4.446
-0.829 -4.273 3.629
K W Ti
2 1 1
Direct
0.750 0.750 0.750 K
0.250 0.250 0.250 K
0.500 0.500 0.500 W
0.000 0.000 0.000 Ti
```

SG: Fm-3m, No. 225
Energy relative to the elements (eV per atom): 2.180

---

(6)
Below is an optimized crystal structure of NdGdZn, with properties calculated at the PBE-GGA level.

The structure in POSCAR format:
```
NdGdZn
1.0
-2.721 1.346 -2.047
-2.438 -1.790 2.064
2.171 5.110 3.749
Nd Zn Gd
1 1 1
Direct
0.020 0.020 0.039 Nd
0.671 0.671 0.341 Zn
0.310 0.310 0.620 Gd
```

SG: I4mm, No. 107
Energy relative to the elements (eV per atom): -0.212
ΔE to the lowest computed polymorph (eV per formula unit): 0.000

---

(7)
Below is an optimized crystal structure of RbSn2Ir, with properties calculated at the PBE-GGA level.

The structure in POSCAR format:
```
RbSn2Ir
1.0
4.702 0.374 1.861
1.291 -2.586 4.167
3.182 -3.933 -0.341
Sn Ir Rb
2 1 1
Direct
0.250 0.250 0.250 Sn
0.750 0.750 0.750 Sn
0.500 0.500 0.500 Ir
0.000 0.000 0.000 Rb
```

SG: Fm-3m, No. 225
Energy relative to the elements (eV per atom): 0.394
ΔE to the lowest computed polymorph (eV per formula unit): 2.184

---

(8)
Below is an optimized crystal structure of RbTl3Rh, with properties calculated at the PBE-GGA level.

The structure in POSCAR format:
```
RbTl3Rh
1.0
-4.695 -1.263 2.391
2.422 -3.576 -3.271
5.379 -4.058 8.419
Tl Rh Rb
6 2 2
Direct
0.667 0.333 0.573 Tl
0.333 0.667 0.073 Tl
0.667 0.333 0.927 Tl
0.000 0.000 0.250 Tl
0.000 0.000 0.750 Tl
0.333 0.667 0.427 Tl
0.000 0.000 0.500 Rh
0.000 0.000 0.000 Rh
0.667 0.333 0.250 Rb
0.333 0.667 0.750 Rb
```

SG: P6_3/mmc, No. 194
Energy relative to the elements (eV per atom): 0.154
ΔE to the lowest computed polymorph (eV per formula unit): 1.084

---

Calculated total energy (computed, eV per cell): -7.47, -21.64, -9.62, -69.26, -14.32, -20.76, -16.26, -29.30
Spin magnetization (computed, μB/cell): 0.0, 4.5, 0.0, 0.0, 1.8, 7.6, 0.0, 0.0